Record 1
Compound: Pr4CoRhBr2
Source: the Alexandria database
Functional: PBE-GGA
Structure: relaxed

Crystal system: monoclinic
Space group: P2/m (10)

Cell lengths 4.080, 7.103, 8.222 Å; angles 106.54, 90.00, 90.00 degrees
Element x y z (fractional)
Br (0.500, 0.000, 0.500)
Br (0.000, 0.500, 0.500)
Pr (0.500, 0.239, 0.197)
Pr (0.000, 0.278, 0.807)
Pr (0.000, 0.722, 0.193)
Pr (0.500, 0.761, 0.803)
Rh (0.000, 0.000, 0.000)
Co (0.500, 0.500, 0.000)

***

Record 2
Compound: Pr8CoRu3Br4
Source: the Alexandria database
Functional: PBE-GGA
Structure: relaxed

Crystal system: monoclinic
Space group: C2/m (12)

Cell lengths 8.188, 9.234, 8.192 Å; angles 116.40, 119.98, 90.00 degrees
Element x y z (fractional)
Ru (0.500, 0.500, 0.000)
Ru (0.000, 0.500, 0.500)
Ru (0.500, 0.500, 0.500)
Co (0.000, 0.500, 0.000)
Pr (0.231, 0.696, 0.965)
Pr (0.231, 0.696, 0.462)
Pr (0.735, 0.696, 0.965)
Pr (0.769, 0.304, 0.035)
Pr (0.267, 0.301, 0.534)
Pr (0.769, 0.304, 0.538)
Pr (0.265, 0.304, 0.035)
Pr (0.733, 0.699, 0.466)
Br (0.500, 0.000, 0.000)
Br (0.000, 0.000, 0.500)
Br (0.500, 0.000, 0.500)
Br (0.000, 0.000, 0.000)

***

Record 3
Compound: Pr6Co2RuBr3
Source: the Alexandria database
Functional: PBE-GGA
Structure: relaxed

Crystal system: monoclinic
Space group: C2/m (12)

Cell lengths 4.044, 9.206, 10.049 Å; angles 112.62, 101.61, 90.00 degrees
Element x y z (fractional)
Pr (0.987, 0.775, 0.974)
Pr (0.344, 0.883, 0.688)
Pr (0.656, 0.117, 0.312)
Pr (0.320, 0.447, 0.641)
Pr (0.013, 0.225, 0.026)
Pr (0.680, 0.553, 0.359)
Br (0.166, 0.834, 0.332)
Br (0.834, 0.166, 0.668)
Br (0.500, 0.500, 0.000)
Co (0.831, 0.662, 0.662)
Co (0.169, 0.338, 0.338)
Ru (0.500, 0.000, 0.000)

***

Record 4
Compound: Pr4CoRuBr2
Source: the Alexandria database
Functional: PBE-GGA
Structure: relaxed

Crystal system: monoclinic
Space group: P2/m (10)

Cell lengths 4.067, 7.029, 8.276 Å; angles 106.56, 90.00, 90.00 degrees
Element x y z (fractional)
Co (0.500, 0.500, 0.000)
Br (0.000, 0.500, 0.500)
Br (0.500, 0.000, 0.500)
Pr (0.000, 0.729, 0.194)
Pr (0.500, 0.764, 0.802)
Pr (0.500, 0.236, 0.198)
Pr (0.000, 0.271, 0.806)
Ru (0.000, 0.000, 0.000)

***

Record 5
Compound: Pr6CoRu2Br3
Source: the Alexandria database
Functional: PBE-GGA
Structure: relaxed

Crystal system: monoclinic
Space group: C2/m (12)

Cell lengths 7.061, 7.061, 8.284 Å; angles 98.17, 98.17, 119.96 degrees
Element x y z (fractional)
Ru (0.334, 0.666, 0.000)
Ru (0.666, 0.334, 0.000)
Pr (0.394, 0.065, 0.196)
Pr (0.606, 0.935, 0.804)
Pr (0.738, 0.738, 0.197)
Pr (0.935, 0.606, 0.804)
Pr (0.065, 0.394, 0.196)
Pr (0.262, 0.262, 0.803)
Br (0.832, 0.168, 0.500)
Br (0.168, 0.832, 0.500)
Br (0.500, 0.500, 0.500)
Co (0.000, 0.000, 0.000)

***

Record 6
Compound: Pr4CoSBr2
Source: the Alexandria database
Functional: PBE-GGA
Structure: relaxed

Crystal system: monoclinic
Space group: P2/m (10)

Cell lengths 3.986, 7.402, 7.914 Å; angles 107.29, 90.00, 90.00 degrees
Element x y z (fractional)
Br (0.000, 0.500, 0.500)
Br (0.500, 0.000, 0.500)
Pr (0.000, 0.738, 0.204)
Pr (0.000, 0.262, 0.796)
Pr (0.500, 0.210, 0.195)
Pr (0.500, 0.790, 0.805)
Co (0.000, 0.000, 0.000)
S (0.500, 0.500, 0.000)

***

Record 7
Compound: Pr6CoS2Br3
Source: the Alexandria database
Functional: PBE-GGA
Structure: relaxed

Crystal system: monoclinic
Space group: C2/m (12)

Cell lengths 7.208, 7.208, 7.724 Å; angles 98.97, 98.97, 119.77 degrees
Element x y z (fractional)
Br (0.500, 0.500, 0.500)
Br (0.173, 0.827, 0.500)
Br (0.827, 0.173, 0.500)
Pr (0.748, 0.748, 0.207)
Pr (0.615, 0.933, 0.798)
Pr (0.385, 0.067, 0.202)
Pr (0.067, 0.385, 0.202)
Pr (0.252, 0.252, 0.793)
Pr (0.933, 0.615, 0.798)
S (0.666, 0.334, 0.000)
S (0.334, 0.666, 0.000)
Co (0.000, 0.000, 0.000)

***

Record 8
Compound: Pr8Co3SiBr4
Source: the Alexandria database
Functional: PBE-GGA
Structure: relaxed

Crystal system: monoclinic
Space group: C2/m (12)

Cell lengths 8.254, 9.113, 8.256 Å; angles 116.96, 119.99, 90.00 degrees
Element x y z (fractional)
Pr (0.733, 0.697, 0.465)
Pr (0.760, 0.304, 0.043)
Pr (0.717, 0.696, 0.957)
Pr (0.267, 0.303, 0.535)
Pr (0.240, 0.696, 0.957)
Pr (0.283, 0.304, 0.043)
Pr (0.761, 0.304, 0.521)
Pr (0.239, 0.696, 0.479)
Br (0.000, 0.000, 0.000)
Br (0.500, 0.000, 0.500)
Br (0.500, 0.000, 0.000)
Br (0.000, 0.000, 0.500)
Co (0.500, 0.500, 0.500)
Co (0.500, 0.500, 0.000)
Co (0.000, 0.500, 0.500)
Si (0.000, 0.500, 0.000)

***

Record 9
Compound: Pr6Co2SiBr3
Source: the Alexandria database
Functional: PBE-GGA
Structure: relaxed

Crystal system: monoclinic
Space group: C2/m (12)

Cell lengths 4.122, 9.155, 9.930 Å; angles 109.45, 101.98, 90.00 degrees
Element x y z (fractional)
Si (0.500, 0.000, 0.000)
Co (0.170, 0.342, 0.341)
Co (0.830, 0.658, 0.659)
Br (0.161, 0.841, 0.322)
Br (0.500, 0.500, 0.000)
Br (0.839, 0.159, 0.678)
Pr (0.680, 0.557, 0.361)
Pr (0.338, 0.870, 0.676)
Pr (0.320, 0.443, 0.639)
Pr (0.979, 0.760, 0.957)
Pr (0.662, 0.130, 0.324)
Pr (0.021, 0.240, 0.043)

***

Record 10
Compound: TbPrCoBr
Source: the Alexandria database
Functional: PBE-GGA
Structure: relaxed

Crystal system: monoclinic
Space group: Cm (8)

Cell lengths 3.933, 3.930, 8.140 Å; angles 89.96, 103.94, 120.00 degrees
Element x y z (fractional)
Pr (0.510, 0.153, 0.679)
Co (0.308, 0.552, 0.876)
Tb (0.099, 0.948, 0.061)
Br (0.961, 0.378, 0.355)

***

Record 11
Compound: Pr3CoTeBr
Source: the Alexandria database
Functional: PBE-GGA
Structure: relaxed

Crystal system: monoclinic
Space group: P2_1/m (11)

Cell lengths 4.257, 8.133, 10.465 Å; angles 111.19, 90.00, 90.00 degrees
Element x y z (fractional)
Pr (0.250, 0.089, 0.901)
Pr (0.750, 0.312, 0.518)
Pr (0.750, 0.477, 0.143)
Pr (0.250, 0.688, 0.482)
Pr (0.750, 0.911, 0.099)
Pr (0.250, 0.523, 0.857)
Co (0.750, 0.283, 0.866)
Co (0.250, 0.717, 0.134)
Br (0.750, 0.871, 0.376)
Br (0.250, 0.129, 0.624)
Te (0.250, 0.262, 0.275)
Te (0.750, 0.738, 0.725)

***

Record 12
Compound: PrThCoBr
Source: the Alexandria database
Functional: PBE-GGA
Structure: relaxed

Crystal system: trigonal
Space group: R3m (160)

Cell lengths 4.037, 4.038, 8.237 Å; angles 90.00, 104.18, 120.00 degrees
Element x y z (fractional)
Th (0.088, 0.942, 0.045)
Co (0.314, 0.555, 0.885)
Pr (0.508, 0.152, 0.676)
Br (0.968, 0.382, 0.364)

***

Record 13
Compound: Pr6TlCo2Br3
Source: the Alexandria database
Functional: PBE-GGA
Structure: relaxed

Crystal system: monoclinic
Space group: C2/m (12)

Cell lengths 4.064, 9.306, 10.350 Å; angles 107.29, 101.32, 90.00 degrees
Element x y z (fractional)
Co (0.826, 0.650, 0.653)
Co (0.174, 0.350, 0.347)
Pr (0.667, 0.140, 0.334)
Pr (0.963, 0.724, 0.927)
Pr (0.315, 0.432, 0.629)
Pr (0.037, 0.276, 0.073)
Pr (0.333, 0.860, 0.666)
Pr (0.685, 0.568, 0.371)
Br (0.500, 0.500, 0.000)
Br (0.830, 0.156, 0.660)
Br (0.170, 0.844, 0.340)
Tl (0.500, 0.000, 0.000)

***

Record 14
Compound: CoPtBr2
Source: the Alexandria database
Functional: PBE-GGA
Structure: relaxed

Crystal system: tetragonal
Space group: I-42d (122)

Cell lengths 5.816, 5.816, 6.971 Å; angles 65.35, 65.35, 90.00 degrees
Site moments in Bohr magnetons follow the coordinates.
Element x y z (fractional)
Pt (0.000, 0.000, 0.000)  0.31
Pt (0.750, 0.250, 0.500)  0.31
Co (0.500, 0.500, 0.000)  2.00
Co (0.250, 0.750, 0.500)  2.00
Br (0.375, 0.401, 0.750)  0.11
Br (0.151, 0.625, 0.250)  0.11
Br (0.599, 0.125, 0.250)  0.10
Br (0.875, 0.849, 0.750)  0.11

***

Record 15
Compound: CoPtBr
Source: the Alexandria database
Functional: PBE-GGA
Structure: relaxed

Crystal system: cubic
Space group: F-43m (216)

Cell lengths 4.271, 4.271, 4.271 Å; angles 60.00, 60.00, 60.00 degrees
Site moments in Bohr magnetons follow the coordinates.
Element x y z (fractional)
Br (0.500, 0.500, 0.500)  0.06
Co (0.250, 0.250, 0.250)  1.90
Pt (0.000, 0.000, 0.000)  0.37

***

Record 16
Compound: CoPtBr2
Source: the Alexandria database
Functional: PBE-GGA
Structure: relaxed

Crystal system: monoclinic
Space group: P2/m (10)

Cell lengths 3.893, 4.729, 4.805 Å; angles 91.36, 90.00, 90.00 degrees
Site moments in Bohr magnetons follow the coordinates.
Element x y z (fractional)
Co (0.500, 0.250, 0.250)  1.85
Br (0.000, 0.011, 0.009)  0.03
Br (0.000, 0.489, 0.491)  0.03
Pt (0.500, 0.750, 0.750)  -0.04

***

Record 17
Compound: CoPtBr3
Source: the Alexandria database
Functional: PBE-GGA
Structure: relaxed

Crystal system: cubic
Space group: Pm-3m (221)

Cell lengths 5.149, 5.149, 5.149 Å; angles 90.00, 90.00, 90.00 degrees
Site moments in Bohr magnetons follow the coordinates.
Element x y z (fractional)
Co (0.500, 0.500, 0.500)  2.27
Br (0.000, 0.000, 0.500)  0.01
Br (0.000, 0.500, 0.000)  0.01
Br (0.500, 0.000, 0.000)  0.01
Pt (0.000, 0.000, 0.000)  -0.01

***

Record 18
Compound: CoPtBr2
Source: the Alexandria database
Functional: PBE-GGA
Structure: relaxed

Crystal system: cubic
Space group: F-43m (216)

Cell lengths 4.763, 4.763, 4.763 Å; angles 60.00, 60.00, 60.00 degrees
Site moments in Bohr magnetons follow the coordinates.
Element x y z (fractional)
Br (0.250, 0.250, 0.250)  0.13
Br (0.000, 0.000, 0.000)  0.12
Co (0.500, 0.500, 0.500)  2.19
Pt (0.750, 0.750, 0.750)  0.39

***

Record 19
Compound: CoPt4Br
Source: the Alexandria database
Functional: PBE-GGA
Structure: relaxed

Crystal system: cubic
Space group: F-43m (216)

Cell lengths 5.328, 5.328, 5.328 Å; angles 60.00, 60.00, 60.00 degrees
Site moments in Bohr magnetons follow the coordinates.
Element x y z (fractional)
Pt (0.374, 0.374, 0.374)  0.14
Pt (0.374, 0.374, 0.877)  0.14
Pt (0.374, 0.877, 0.374)  0.14
Pt (0.877, 0.374, 0.374)  0.14
Br (0.750, 0.750, 0.750)  0.12
Co (0.000, 0.000, 0.000)  2.26

***

Record 20
Compound: CoPtBr2
Source: the Alexandria database
Functional: PBE-GGA
Structure: relaxed

Crystal system: tetragonal
Space group: P4/mmm (123)

Cell lengths 4.698, 4.698, 3.360 Å; angles 90.00, 90.00, 90.06 degrees
Site moments in Bohr magnetons follow the coordinates.
Element x y z (fractional)
Br (0.500, 0.500, 0.000)  0.09
Br (0.000, 0.000, 0.000)  0.09
Co (0.500, 0.000, 0.500)  1.99
Pt (0.000, 0.500, 0.500)  0.03

***

Number 1: raw formation energy -0.891 eV per atom, density of states at the Fermi level 1.9 states/eV per cell. Number 2: raw formation energy -0.738 eV per atom, density of states at the Fermi level 9.3 states/eV per cell. Number 3: raw formation energy -0.731 eV per atom, density of states at the Fermi level 4.9 states/eV per cell. Number 4: raw formation energy -0.733 eV per atom, density of states at the Fermi level 4.4 states/eV per cell. Number 5: raw formation energy -0.740 eV per atom, density of states at the Fermi level 5.7 states/eV per cell. Number 6: raw formation energy -1.167 eV per atom, density of states at the Fermi level 4.6 states/eV per cell. Number 7: raw formation energy -1.307 eV per atom, density of states at the Fermi level 9.3 states/eV per cell. Number 8: raw formation energy -0.756 eV per atom, density of states at the Fermi level 12.4 states/eV per cell. Number 9: raw formation energy -0.815 eV per atom, density of states at the Fermi level 5.2 states/eV per cell. Number 10: raw formation energy -0.712 eV per atom, density of states at the Fermi level 0.9 states/eV per cell. Number 11: raw formation energy -0.761 eV per atom, density of states at the Fermi level 7.9 states/eV per cell. Number 12: raw formation energy -0.726 eV per atom, density of states at the Fermi level 3.0 states/eV per cell. Number 13: raw formation energy -0.718 eV per atom, density of states at the Fermi level 5.8 states/eV per cell. Number 14: raw formation energy 0.469 eV per atom, density of states at the Fermi level 8.1 states/eV per cell. Number 15: raw formation energy 0.629 eV per atom, density of states at the Fermi level 1.9 states/eV per cell. Number 16: raw formation energy 0.589 eV per atom, density of states at the Fermi level 5.2 states/eV per cell. Number 17: raw formation energy 0.630 eV per atom, density of states at the Fermi level 7.4 states/eV per cell. Number 18: raw formation energy 0.946 eV per atom, density of states at the Fermi level 7.6 states/eV per cell. Number 19: raw formation energy 0.635 eV per atom, density of states at the Fermi level 10.6 states/eV per cell. Number 20: raw formation energy 0.799 eV per atom, density of states at the Fermi level 7.0 states/eV per cell.